## KBrO2 (PBE-GGA)

Data for a geometry-optimized KBrO2 structure.

Geometry as CIF:
```
data_KBrO2
_space_group_name_H-M_alt 'R -3 m'
_space_group_IT_number 166
_space_group_name_Hall '-R 3 2"'
_cell_length_a 3.4969
_cell_length_b 3.4969
_cell_length_c 21.2823
_cell_angle_alpha 90.00
_cell_angle_beta 90.00
_cell_angle_gamma 120.00
loop_
_atom_site_label
_atom_site_type_symbol
_atom_site_fract_x
_atom_site_fract_y
_atom_site_fract_z
_atom_site_occupancy
K1 K 0.0000 0.0000 0.0000 1
Br1 Br 0.0000 0.0000 0.5000 1
O1 O 0.0000 0.0000 0.4140 1
```

Properties
M_tot (μB/cell): 0.00
E_form (uncorrected) (eV/f.u.): -1.4
Uncorrected energy (eV per formula unit): -14.05



## Ac2TbZrO6 (PBE-GGA)

Data for a geometry-optimized Ac2TbZrO6 structure.

Geometry as CIF:
```
data_Ac2TbZrO6
_space_group_name_H-M_alt 'P 1 21/c 1'
_space_group_IT_number 14
_cell_length_a 6.051
_cell_length_b 6.119
_cell_length_c 10.399
_cell_angle_alpha 90.00
_cell_angle_beta 124.99
_cell_angle_gamma 90.00
loop_
_space_group_symop_operation_xyz
'x,y,z'
'-x,-y,-z'
'-x,y+1/2,-z+1/2'
'x,-y+1/2,z+1/2'
loop_
_atom_site_label
_atom_site_type_symbol
_atom_site_fract_x
_atom_site_fract_y
_atom_site_fract_z
_atom_site_occupancy
Ac1 Ac 0.235 0.059 0.245 1
Tb1 Tb 0.500 0.000 0.000 1
Zr1 Zr 0.000 0.000 0.500 1
O1 O 0.134 0.203 0.941 1
O2 O 0.245 0.691 0.946 1
O3 O 0.352 0.031 0.743 1
```

Properties
M_tot (μB/cell): 1.94
E_form (uncorrected) (eV/f.u.): -32.5
Uncorrected energy (eV per formula unit): -83.65



## AcNiGe (PBE-GGA)

Data for a geometry-optimized AcNiGe structure.

Geometry as CIF:
```
data_AcNiGe
_space_group_name_H-M_alt 'C m c m'
_space_group_IT_number 63
_space_group_name_Hall '-C 2c 2'
_cell_length_a 3.798
_cell_length_b 11.619
_cell_length_c 5.909
_cell_angle_alpha 90.00
_cell_angle_beta 90.00
_cell_angle_gamma 90.00
loop_
_atom_site_label
_atom_site_type_symbol
_atom_site_fract_x
_atom_site_fract_y
_atom_site_fract_z
_atom_site_occupancy
Ac1 Ac 0.000 0.193 0.250 1
Ni1 Ni 0.000 0.500 0.000 1
Ge1 Ge 0.000 0.079 0.750 1
```

Properties
M_tot (μB/cell): 0.00
ΔE_f (eV per atom): -0.419
Uncorrected energy (eV per formula unit): -15.76



## TbZnCuNi (PBE-GGA)

Data for a geometry-optimized TbZnCuNi structure.

Geometry as CIF:
```
data_TbZnCuNi
_space_group_name_H-M_alt 'F -4 3 m'
_space_group_IT_number 216
_space_group_name_Hall 'F -4 2 3'
_cell_length_a 6.406
_cell_length_b 6.406
_cell_length_c 6.406
_cell_angle_alpha 90.00
_cell_angle_beta 90.00
_cell_angle_gamma 90.00
loop_
_atom_site_label
_atom_site_type_symbol
_atom_site_fract_x
_atom_site_fract_y
_atom_site_fract_z
_atom_site_occupancy
Tb1 Tb 0.000 0.000 0.000 1
Zn1 Zn 0.000 0.000 0.500 1
Cu1 Cu 0.250 0.250 0.250 1
Ni1 Ni 0.250 0.250 0.750 1
```

Properties
M_tot (μB/cell): 0.00
ΔE_f (eV per atom): -0.221
Uncorrected energy (eV per formula unit): -16.67



Question: The highest uncorrected energy belongs to which entry?
Answer: KBrO2



Repeat the fourth record exactly.
## TbZnCuNi (PBE-GGA)

Data for a geometry-optimized TbZnCuNi structure.

Geometry as CIF:
```
data_TbZnCuNi
_space_group_name_H-M_alt 'F -4 3 m'
_space_group_IT_number 216
_space_group_name_Hall 'F -4 2 3'
_cell_length_a 6.406
_cell_length_b 6.406
_cell_length_c 6.406
_cell_angle_alpha 90.00
_cell_angle_beta 90.00
_cell_angle_gamma 90.00
loop_
_atom_site_label
_atom_site_type_symbol
_atom_site_fract_x
_atom_site_fract_y
_atom_site_fract_z
_atom_site_occupancy
Tb1 Tb 0.000 0.000 0.000 1
Zn1 Zn 0.000 0.000 0.500 1
Cu1 Cu 0.250 0.250 0.250 1
Ni1 Ni 0.250 0.250 0.750 1
```

Properties
M_tot (μB/cell): 0.00
ΔE_f (eV per atom): -0.221
Uncorrected energy (eV per formula unit): -16.67